The following is a DFT calculation (PBE) of a geometry-optimized ZrTl3Pd12 structure.

Lattice parameters (Å, degrees): 4.061 4.061 16.405 90.00 90.00 90.00
Sites, in units of the cell vectors:
1 Zr 0.000 0.000 0.000
2 Tl 0.000 0.000 0.250
3 Tl 0.000 0.000 0.500
4 Tl 0.000 0.000 0.750
5 Pd 0.500 0.500 0.000
6 Pd 0.500 0.500 0.246
7 Pd 0.500 0.500 0.500
8 Pd 0.500 0.500 0.754
9 Pd 0.500 0.000 0.120
10 Pd 0.500 0.000 0.374
11 Pd 0.500 0.000 0.626
12 Pd 0.500 0.000 0.880
13 Pd 0.000 0.500 0.120
14 Pd 0.000 0.500 0.374
15 Pd 0.000 0.500 0.626
16 Pd 0.000 0.500 0.880

Computed properties:
**Space-group type**: P4/mmm
**E_form**: -0.365 eV/atom